Th4TcNiSe2 | PBE | relaxed

It has space group P2/m (No. 10), with a = 7.015 Å, b = 4.112 Å, c = 7.728 Å, α = 90.00°, β = 107.73° and γ = 90.00°. Symmetry generates all atoms from Th at (0.239, 0.000, 0.216), Th at (0.259, 0.500, 0.788), Tc at (0.000, 0.500, 0.000), Ni at (0.500, 0.000, 0.000), Se at (0.000, 0.000, 0.500) and Se at (0.500, 0.500, 0.500).

The total magnetization comes out at 0.00 μB/f.u. The total energy is -0.55076 Ry per atom. The value obtained for the density of states at the Fermi level is 0.5920 states/eV per atom. As for the uncorrected formation energy: -7.15 eV/f.u.

SmY7Tm2 | PBE | relaxed

It has space group Cmmm (No. 65), with a = 8.840 Å, b = 15.793 Å, c = 5.667 Å, α = 90.00°, β = 90.00° and γ = 90.00°. Symmetry generates all atoms from Sm at (0.000, 0.000, 0.000), Y at (0.000, 0.225, 0.000), Y at (0.000, 0.500, 0.500), Y at (0.178, 0.117, 0.500) and Tm at (0.000, 0.296, 0.500).

The total magnetization comes out at 0.00 μB/f.u. The total energy is -0.38189 Ry per atom. The value obtained for the density of states at the Fermi level is 1.4481 states/eV per atom. As for the formation energy: 6.952 eV per formula unit. The relative energy among the computed polymorphs is 0.474 eV/atom.

> total magnetization of number 2 (SmY7Tm2)?

0.00 μB/f.u.

> What is the formula in the first record?

Th4TcNiSe2